Entry 1:
Na2CaHf3O8: optimized geometry, PBE.

Unit cell a=6.4808 b=6.4808 c=16.5123 alpha=90.00 beta=90.00 gamma=120.00
Space group R3m (No. 160, hexagonal axes)
One atom of each set of equivalent atoms:
Na: 0.0000 0.0000 0.0000 [3 per cell]
Na: 0.0000 0.0000 0.3794 [3 per cell]
Ca: 0.0000 0.0000 0.7607 [3 per cell]
Hf: 0.0037 0.5019 0.8804 [9 per cell]
O: 0.0000 0.0000 0.1455 [3 per cell]
O: 0.0000 0.0000 0.6151 [3 per cell]
O: 0.0332 0.5166 0.1469 [9 per cell]
O: 0.1843 0.3686 0.9435 [9 per cell]

electronic total energy = -350.4 eV per cell

---

Entry 2:
Cs2RbHgBi: optimized geometry, PBE.

Unit cell a=5.330 b=17.312 c=11.541 alpha=90.00 beta=90.00 gamma=90.00
Space group Cmcm (No. 63)
One atom of each set of equivalent atoms:
Cs: 0.000 0.211 0.097 [8 per cell]
Rb: 0.000 0.000 0.000 [4 per cell]
Hg: 0.000 0.466 0.250 [4 per cell]
Bi: 0.000 0.155 0.750 [4 per cell]

offset from the most stable computed form = 22.5 meV per atom
formation energy = -138 meV/atom

---

Entry 3:
Na2AlGe3Pt4: optimized geometry, PBE.

Unit cell a=4.098 b=4.098 c=11.012 alpha=90.00 beta=90.00 gamma=90.00
Space group P-4m2 (No. 115)
One atom of each set of equivalent atoms:
Na: 0.000 0.500 0.248 [2 per cell]
Al: 0.000 0.000 0.500 [1 per cell]
Ge: 0.000 0.500 0.862 [2 per cell]
Ge: 0.500 0.500 0.500 [1 per cell]
Pt: 0.000 0.000 0.000 [1 per cell]
Pt: 0.000 0.500 0.635 [2 per cell]
Pt: 0.500 0.500 0.000 [1 per cell]

formation energy = -569 meV/atom

---

Magnetization per entry: 0.0, 0.0, 0.0 μB/f.u.